The following is a PBE calculation of a relaxed structure of LiCdBi, from OQMD via LeMat-Bulk.

Results
total energy	-2.49	eV per atom
volume	213	Å³ per cell
ρ	7.66	Mg/m³
SG	P-62m, No. 189

a b c (Å): 7.6103 7.6103 4.2556
angles (deg): 90.00 90.00 120.00
Positions (direct):
Li1 0.0000 0.2524 0.0000
Li2 0.2524 0.0000 0.0000
Li3 0.7476 0.7476 0.0000
Cd1 0.0000 0.6064 0.5000
Cd2 0.3936 0.3936 0.5000
Cd3 0.6064 0.0000 0.5000
Bi1 0.0000 0.0000 0.5000
Bi2 0.3333 0.6667 0.0000
Bi3 0.6667 0.3333 0.0000